Record 1
{"formula": "NiSnAs2Br", "functional": "PBE", "state": "relaxed", "lattice_angstrom": [[5.282, 0.000, 0.000], [0.000, 5.282, 0.000], [0.000, 0.000, 5.459]], "species": ["Ni", "Sn", "As", "As", "Br"], "fractional_positions": [[0.000, 0.000, 0.000], [0.500, 0.500, 0.500], [0.000, 0.500, 0.500], [0.500, 0.000, 0.500], [0.500, 0.500, 0.000]], "final_energy_ev_per_atom": -3.019, "crystal_system": "tetragonal", "dos_at_fermi_per_ev_atom": 2.28, "space_group": "P4/mmm, No. 123", "de_polymorph_ev_per_atom": 0.8828, "formation_energy_uncorrected_ev_per_atom": 1.132}


Record 2
{"formula": "Pm6Nd2Sm3Ho", "functional": "PBE", "state": "relaxed", "lattice_angstrom": [[3.153, -5.460, 0.000], [3.153, 5.460, 0.000], [-2.109, 0.000, 11.888]], "species": ["Pm", "Pm", "Pm", "Pm", "Pm", "Pm", "Nd", "Nd", "Sm", "Sm", "Sm", "Ho"], "fractional_positions": [[0.083, 0.415, 0.750], [0.249, 0.249, 0.250], [0.415, 0.083, 0.750], [0.585, 0.917, 0.250], [0.751, 0.751, 0.750], [0.917, 0.585, 0.250], [0.333, 0.667, 0.500], [0.667, 0.333, 0.500], [0.167, 0.833, 0.000], [0.500, 0.500, 0.000], [0.833, 0.167, 0.000], [0.000, 0.000, 0.500]], "final_energy_ev_per_atom": -4.718, "crystal_system": "monoclinic", "dos_at_fermi_per_ev_atom": 1.43, "space_group": "C2/m, No. 12", "formation_enthalpy_0k_ev_per_atom": 0.013}


Record 3
{"formula": "CoPIr2", "functional": "PBE", "state": "relaxed", "lattice_angstrom": [[0.000, 3.014, 3.014], [3.014, 0.000, 3.014], [3.014, 3.014, 0.000]], "species": ["Co", "P", "Ir", "Ir"], "fractional_positions": [[0.000, 0.000, 0.000], [0.750, 0.750, 0.750], [0.250, 0.250, 0.250], [0.500, 0.500, 0.500]], "final_energy_ev_per_atom": -7.193, "crystal_system": "cubic", "dos_at_fermi_per_ev_atom": 1.81, "space_group": "F-43m, No. 216", "de_polymorph_ev_per_atom": 0.5095, "formation_enthalpy_0k_ev_per_atom": 0.367}